(1)
The following is a DFT calculation (PBE-GGA) of an optimized crystal structure of Ca2Ga2Ag15.

## Properties
- energy of formation (eV per atom) = -0.082
- crystal system = trigonal
- symmetry = No. 166
- DOS(E_F) (states/eV per atom) = 0.33

a b c (Å): 7.318 7.318 7.318
angles (deg): 82.84 82.84 82.84
Sites, in units of the cell vectors:
Ca (0.160, 0.160, 0.160)
Ca (0.840, 0.840, 0.840)
Ga (0.405, 0.405, 0.405)
Ga (0.595, 0.595, 0.595)
Ag (0.000, 0.500, 0.500)
Ag (0.156, 0.156, 0.660)
Ag (0.156, 0.660, 0.156)
Ag (0.186, 0.500, 0.814)
Ag (0.186, 0.814, 0.500)
Ag (0.340, 0.844, 0.844)
Ag (0.500, 0.000, 0.500)
Ag (0.500, 0.186, 0.814)
Ag (0.500, 0.500, 0.000)
Ag (0.500, 0.814, 0.186)
Ag (0.660, 0.156, 0.156)
Ag (0.814, 0.186, 0.500)
Ag (0.814, 0.500, 0.186)
Ag (0.844, 0.340, 0.844)
Ag (0.844, 0.844, 0.340)

---

(2)
The following is a DFT calculation (PBE-GGA) of an optimized crystal structure of Pm5Dy3In.

## Properties
- energy of formation (eV per atom) = 0.372
- crystal system = monoclinic
- symmetry = No. 12
- DOS(E_F) (states/eV per atom) = 1.38

a b c (Å): 7.921 7.921 11.474
angles (deg): 95.15 95.15 60.55
Sites, in units of the cell vectors:
Pm (0.009, 0.009, 0.372)
Pm (0.160, 0.589, 0.246)
Pm (0.169, 0.831, 0.000)
Pm (0.262, 0.262, 0.963)
Pm (0.411, 0.840, 0.754)
Pm (0.589, 0.160, 0.246)
Pm (0.738, 0.738, 0.037)
Pm (0.831, 0.169, 0.000)
Pm (0.840, 0.411, 0.754)
Pm (0.991, 0.991, 0.628)
Dy (0.168, 0.168, 0.217)
Dy (0.242, 0.242, 0.525)
Dy (0.500, 0.500, 0.000)
Dy (0.500, 0.500, 0.500)
Dy (0.758, 0.758, 0.475)
Dy (0.832, 0.832, 0.783)
In (0.404, 0.404, 0.742)
In (0.596, 0.596, 0.258)

---

(3)
The following is a DFT calculation (PBE-GGA) of an optimized crystal structure of TbScTl2.

## Properties
- energy of formation (eV per atom) = -0.047
- crystal system = trigonal
- symmetry = No. 160
- DOS(E_F) (states/eV per atom) = 1.05

a b c (Å): 6.700 6.700 6.700
angles (deg): 41.21 41.21 41.21
Sites, in units of the cell vectors:
Tb (0.000, 0.000, 0.000)
Sc (0.192, 0.192, 0.192)
Tl (0.585, 0.585, 0.585)
Tl (0.780, 0.780, 0.780)

---

(4)
The following is a DFT calculation (PBE-GGA) of an optimized crystal structure of BeTe2P.

## Properties
- ΔE_f (raw) (eV per atom) = 0.225
- crystal system = tetragonal
- symmetry = No. 99
- DOS(E_F) (states/eV per atom) = 0.34

a b c (Å): 3.934 3.934 5.524
angles (deg): 90.00 90.00 90.00
Sites, in units of the cell vectors:
Be (0.000, 0.000, 0.000)
Te (0.000, 0.000, 0.484)
Te (0.500, 0.500, 0.983)
P (0.500, 0.500, 0.492)